# MgAg4Pd5

An optimized crystal structure of MgAg4Pd5 (GGA-PBE, the Alexandria database).

For the raw total energy, the calculation gives -4.073 eV/atom. As for the total moment: 0.000 μB/atom.

POSCAR file:
```
MgAg4Pd5
1.0
3.077 0.000 0.000
0.000 3.077 0.000
0.000 0.000 17.376
Mg Ag Pd
1 4 5
Cartesian
0.000 0.000 0.000
0.000 0.000 3.405
0.000 0.000 6.923
0.000 0.000 10.453
0.000 0.000 13.971
1.538 1.538 1.587
1.538 1.538 5.154
1.538 1.538 8.688
1.538 1.538 12.222
1.538 1.538 15.788
```

***

# MgAg2Pd4

An optimized crystal structure of MgAg2Pd4 (GGA-PBE, the Alexandria database).

For the raw total energy, the calculation gives -4.063 eV/atom. The offset from the most stable computed form comes out at 0.0027 eV per atom. As for the total moment: 0.000 μB/atom.

POSCAR file:
```
MgAg2Pd4
1.0
-3.932 3.932 3.941
3.932 -3.932 3.941
3.932 3.932 -3.941
Mg Ag Pd
2 4 8
Cartesian
0.000 0.000 0.000
0.000 3.932 1.971
1.966 2.989 -0.985
4.875 1.966 0.985
1.966 0.943 2.956
-0.943 1.966 4.927
4.574 2.578 -1.685
2.578 0.642 0.286
3.290 -1.354 3.655
-0.642 1.354 2.257
2.578 3.290 1.685
0.642 5.286 -0.286
1.354 0.642 5.626
1.354 3.290 4.228
```

***

# Mg2AgPd3

An optimized crystal structure of Mg2AgPd3 (GGA-PBE, the Alexandria database).

For the raw total energy, the calculation gives -4.133 eV/atom. The offset from the most stable computed form comes out at 0.0188 eV per atom. As for the total moment: 0.000 μB/atom.

POSCAR file:
```
Mg2AgPd3
1.0
3.052 0.000 0.000
0.000 3.052 0.000
0.000 0.000 10.431
Mg Ag Pd
2 1 3
Cartesian
0.000 0.000 1.731
0.000 0.000 8.700
0.000 0.000 5.215
1.526 1.526 0.000
1.526 1.526 3.347
1.526 1.526 7.084
```

***

# Mg5Ag2Pd12

An optimized crystal structure of Mg5Ag2Pd12 (GGA-PBE, the Alexandria database).

For the raw total energy, the calculation gives -4.207 eV/atom. As for the total moment: 0.000 μB/atom.

POSCAR file:
```
Mg5Ag2Pd12
1.0
7.543 -2.740 0.000
7.543 2.740 0.000
-2.399 0.000 8.206
Mg Ag Pd
5 2 12
Cartesian
0.000 0.000 0.000
4.235 0.000 0.934
4.001 0.000 5.203
8.686 0.000 3.003
8.452 0.000 7.272
6.344 1.376 4.103
6.344 -1.376 4.103
3.567 1.405 3.124
3.181 1.357 7.308
-0.240 0.000 6.623
9.506 1.357 0.898
9.120 1.405 5.081
6.848 0.000 1.238
5.839 0.000 6.967
3.567 -1.405 3.124
3.181 -1.357 7.308
12.927 0.000 1.583
9.506 -1.357 0.898
9.120 -1.405 5.081
```

***

# MgAg3Pd7

An optimized crystal structure of MgAg3Pd7 (GGA-PBE, the Alexandria database).

For the raw total energy, the calculation gives -4.144 eV/atom. As for the total moment: 0.000 μB/atom.

POSCAR file:
```
MgAg3Pd7
1.0
4.701 -4.650 0.000
4.701 4.650 0.000
-2.106 0.000 4.468
Mg Ag Pd
1 3 7
Cartesian
0.000 0.000 0.000
3.648 1.927 2.234
4.701 0.000 0.000
3.648 -1.927 2.234
-1.053 0.000 2.234
1.338 2.289 3.709
1.664 0.000 1.988
5.959 2.289 0.759
1.338 -2.289 3.709
5.633 0.000 2.480
5.959 -2.289 0.759
```

***

# Mg2AgPd5

An optimized crystal structure of Mg2AgPd5 (GGA-PBE, the Alexandria database).

For the raw total energy, the calculation gives -4.454 eV/atom. As for the total moment: 0.000 μB/atom.

POSCAR file:
```
Mg2AgPd5
1.0
5.643 0.000 0.000
0.000 11.297 0.000
0.000 0.000 4.011
Mg Ag Pd
4 2 10
Cartesian
1.330 1.467 0.000
1.492 7.115 0.000
4.152 4.181 0.000
4.313 9.830 0.000
0.000 5.648 2.006
2.822 0.000 2.006
0.000 0.000 2.006
0.060 8.472 2.006
1.377 4.246 0.000
1.445 9.894 0.000
2.761 2.823 2.006
2.822 5.648 2.006
2.882 8.473 2.006
4.198 1.402 0.000
4.267 7.051 0.000
5.583 2.825 2.006
```

***

# Mg2AgPd9

An optimized crystal structure of Mg2AgPd9 (GGA-PBE, the Alexandria database).

For the raw total energy, the calculation gives -4.713 eV/atom. As for the total moment: 0.000 μB/atom.

POSCAR file:
```
Mg2AgPd9
1.0
3.976 0.000 0.000
0.000 3.976 0.000
0.000 0.000 11.942
Mg Ag Pd
2 1 9
Cartesian
0.000 0.000 1.968
0.000 0.000 9.974
0.000 0.000 5.971
0.000 1.988 0.000
0.000 1.988 3.943
0.000 1.988 7.999
1.988 0.000 0.000
1.988 0.000 3.943
1.988 0.000 7.999
1.988 1.988 1.970
1.988 1.988 5.971
1.988 1.988 9.971
```

***

# Mg16Ag6Pd7

An optimized crystal structure of Mg16Ag6Pd7 (GGA-PBE, the Alexandria database).

For the raw total energy, the calculation gives -3.157 eV/atom. As for the total moment: 0.000 μB/atom.

POSCAR file:
```
Mg16Ag6Pd7
1.0
0.000 6.470 6.470
6.470 0.000 6.470
6.470 6.470 0.000
Mg Ag Pd
16 6 7
Cartesian
8.150 4.791 4.791
1.649 1.649 1.649
4.821 4.821 1.649
4.821 1.649 4.821
4.791 4.791 4.791
8.150 8.150 4.791
8.150 4.791 8.150
11.292 8.119 8.119
1.649 4.821 4.821
4.791 8.150 4.791
4.791 4.791 8.150
8.150 8.150 8.150
8.119 11.292 8.119
8.119 8.119 11.292
11.292 11.292 11.292
4.791 8.150 8.150
6.470 6.470 3.201
6.470 3.201 6.470
9.740 6.470 6.470
3.201 6.470 6.470
6.470 9.740 6.470
6.470 6.470 9.740
0.000 0.000 0.000
3.235 3.235 0.000
3.235 0.000 3.235
6.470 3.235 3.235
0.000 3.235 3.235
3.235 6.470 3.235
3.235 3.235 6.470
```

***

# Mg2AgPd3

An optimized crystal structure of Mg2AgPd3 (GGA-PBE, the Alexandria database).

For the raw total energy, the calculation gives -4.152 eV/atom. The offset from the most stable computed form comes out at 0.0000 eV per atom. As for the total moment: 0.000 μB/atom.

POSCAR file:
```
Mg2AgPd3
1.0
2.128 -6.354 0.000
2.128 6.354 0.000
0.000 0.000 3.606
Mg Ag Pd
2 1 3
Cartesian
2.128 4.308 0.000
2.128 -4.308 0.000
2.128 0.000 0.000
0.000 0.000 1.803
2.128 2.184 1.803
2.128 -2.184 1.803
```

***

# MgAgPd5

An optimized crystal structure of MgAgPd5 (GGA-PBE, the Alexandria database).

For the raw total energy, the calculation gives -4.430 eV/atom. The offset from the most stable computed form comes out at 0.0000 eV per atom. As for the total moment: 0.000 μB/atom.

POSCAR file:
```
MgAgPd5
1.0
3.917 0.000 0.000
0.000 3.917 0.000
0.000 0.000 7.781
Mg Ag Pd
1 1 5
Cartesian
0.000 0.000 0.000
1.959 1.959 3.891
0.000 0.000 3.891
0.000 1.959 1.821
0.000 1.959 5.961
1.959 0.000 1.821
1.959 0.000 5.961
```

***

# MgAgPd5

An optimized crystal structure of MgAgPd5 (GGA-PBE, the Alexandria database).

For the raw total energy, the calculation gives -4.372 eV/atom. The offset from the most stable computed form comes out at 0.0583 eV per atom. As for the total moment: 0.000 μB/atom.

POSCAR file:
```
MgAgPd5
1.0
-2.544 2.605 4.618
2.544 -2.605 4.618
2.544 2.605 -4.618
Mg Ag Pd
1 1 5
Cartesian
0.000 0.000 0.000
0.000 2.605 3.112
1.293 2.605 -1.761
1.251 0.000 2.857
2.544 1.336 0.837
0.000 2.605 0.556
0.000 1.269 5.455
```

***

# Mg3Ag3Pd2

An optimized crystal structure of Mg3Ag3Pd2 (GGA-PBE, the Alexandria database).

For the raw total energy, the calculation gives -3.347 eV/atom. As for the total moment: 0.000 μB/atom.

POSCAR file:
```
Mg3Ag3Pd2
1.0
7.281 0.000 0.000
-3.640 6.305 0.000
0.000 0.000 3.099
Mg Ag Pd
3 3 2
Cartesian
-1.478 2.561 0.000
2.957 0.000 0.000
2.162 3.745 0.000
-2.804 4.857 1.549
0.836 1.448 1.549
5.608 0.000 1.549
0.000 4.204 1.549
3.640 2.102 1.549
```